Li3In2Ag GGA-PBE relaxed; energy of formation = -0.18 eV per atom; excess energy over the best structure of this formula in the dataset = 0.078 eV/atom
1.0
4.875 -4.746 0.000
4.875 4.746 0.000
-1.105 0.000 5.117
Li In Ag
6 4 2
Direct
0.000 0.500 0.000
0.164 0.329 0.478
0.329 0.164 0.978
0.500 0.000 0.500
0.671 0.836 0.022
0.836 0.671 0.522
0.095 0.905 0.250
0.278 0.722 0.750
0.722 0.278 0.250
0.905 0.095 0.750
0.420 0.580 0.250
0.580 0.420 0.750



Li2Si2S GGA-PBE relaxed; excess energy over the best structure of this formula in the dataset = 0.000 eV/atom; formation energy (no corrections) = -243 meV per atom
1.0
3.366 0.000 0.000
0.000 3.366 0.000
0.000 0.000 15.584
Li Si S
4 4 2
Direct
0.000 0.000 0.079
0.000 0.000 0.921
0.500 0.500 0.421
0.500 0.500 0.579
0.000 0.500 0.250
0.000 0.500 0.750
0.500 0.000 0.250
0.500 0.000 0.750
0.000 0.000 0.500
0.500 0.500 0.000



SmNi6P4 GGA-PBE relaxed; energy of formation = -0.67 eV per atom
1.0
6.615 0.000 0.000
-3.307 5.728 0.000
0.000 0.000 3.660
Sm Ni P
1 6 4
Direct
0.000 0.000 0.000
0.204 0.408 0.500
0.204 0.796 0.500
0.536 0.073 0.000
0.536 0.464 0.000
0.592 0.796 0.500
0.927 0.464 0.000
0.333 0.667 0.000
0.383 0.191 0.500
0.809 0.191 0.500
0.809 0.617 0.500



Tm4AgSn3 GGA-PBE relaxed; energy of formation = -0.56 eV per atom
1.0
4.316 0.000 0.000
0.000 4.327 0.000
0.000 0.000 11.255
Tm Ag Sn
4 1 3
Direct
0.000 0.000 0.000
0.000 0.500 0.490
0.500 0.000 0.721
0.500 0.500 0.223
0.000 0.000 0.272
0.000 0.500 0.761
0.500 0.000 0.444
0.500 0.500 0.951



Hg2Sb2Pb GGA-PBE relaxed; excess energy over the best structure of this formula in the dataset = 0.062 eV/atom; formation energy (no corrections) = 190 meV per atom
1.0
4.268 0.000 0.000
0.000 4.268 0.000
0.000 0.000 16.483
Hg Sb Pb
4 4 2
Direct
0.000 0.000 0.096
0.000 0.000 0.904
0.500 0.500 0.404
0.500 0.500 0.596
0.000 0.500 0.250
0.000 0.500 0.750
0.500 0.000 0.250
0.500 0.000 0.750
0.000 0.000 0.500
0.500 0.500 0.000



HfTiTcOs GGA-PBE relaxed; energy of formation = -0.58 eV per atom
1.0
3.176 0.000 0.000
0.000 3.176 0.000
0.000 0.000 6.384
Hf Ti Tc Os
1 1 1 1
Direct
0.000 0.000 0.000
0.000 0.000 0.499
0.500 0.500 0.261
0.500 0.500 0.738



KAs3 GGA-PBE relaxed; energy of formation = 0.29 eV per atom; excess energy over the best structure of this formula in the dataset = 0.418 eV/atom
1.0
4.526 0.000 0.000
0.000 4.526 0.000
0.000 0.000 8.867
K As
2 6
Direct
0.000 0.000 0.000
0.500 0.500 0.500
0.000 0.000 0.500
0.000 0.500 0.250
0.000 0.500 0.750
0.500 0.000 0.250
0.500 0.000 0.750
0.500 0.500 0.000



PuGaGe GGA-PBE relaxed; energy of formation = -0.35 eV per atom
1.0
4.563 0.000 0.000
-2.282 3.952 0.000
0.000 0.000 3.394
Pu Ga Ge
1 1 1
Direct
0.000 0.000 0.000
0.333 0.667 0.502
0.667 0.333 0.498



PRu3 GGA-PBE relaxed; energy of formation = 0.06 eV per atom; excess energy over the best structure of this formula in the dataset = 0.229 eV/atom
1.0
3.779 0.000 0.000
0.000 3.779 0.000
0.000 0.000 7.486
P Ru
2 6
Direct
0.000 0.000 0.000
0.500 0.500 0.500
0.000 0.000 0.500
0.000 0.500 0.250
0.000 0.500 0.750
0.500 0.000 0.250
0.500 0.000 0.750
0.500 0.500 0.000



BaScMo GGA-PBE relaxed; energy of formation = 0.84 eV per atom; excess energy over the best structure of this formula in the dataset = 0.140 eV/atom
1.0
3.408 0.000 0.000
-1.704 2.951 0.000
0.000 0.000 8.066
Ba Sc Mo
1 1 1
Direct
0.000 0.000 0.000
0.333 0.667 0.567
0.667 0.333 0.325



NdTm4Mg5 GGA-PBE relaxed; energy of formation = -0.07 eV per atom
1.0
3.763 0.000 0.000
0.000 3.763 0.000
0.000 0.000 19.073
Nd Tm Mg
1 4 5
Direct
0.000 0.000 0.000
0.000 0.000 0.206
0.000 0.000 0.402
0.000 0.000 0.598
0.000 0.000 0.794
0.500 0.500 0.108
0.500 0.500 0.304
0.500 0.500 0.500
0.500 0.500 0.696
0.500 0.500 0.892



Ac4HgTe2Se GGA-PBE relaxed; formation energy (no corrections) = -1320 meV per atom
1.0
8.128 0.000 0.000
0.000 4.561 0.000
-2.614 0.000 7.842
Ac Hg Te Se
4 1 2 1
Direct
0.242 0.000 0.233
0.255 0.500 0.764
0.745 0.500 0.236
0.758 0.000 0.767
0.500 0.000 0.000
0.000 0.000 0.500
0.500 0.500 0.500
0.000 0.500 0.000



Number 1: M_tot 0.00 μB/atom, total DFT energy (no corrections) -30.3 eV per cell. Number 2: M_tot 0.00 μB/atom, total DFT energy (no corrections) -40.0 eV per cell. Number 3: M_tot 0.00 μB/atom, total DFT energy (no corrections) -68.4 eV per cell. Number 4: M_tot 0.00 μB/atom, total DFT energy (no corrections) -37.2 eV per cell. Number 5: M_tot 0.00 μB/atom, total DFT energy (no corrections) -23.2 eV per cell. Number 6: M_tot 0.00 μB/atom, total DFT energy (no corrections) -41.8 eV per cell. Number 7: M_tot 0.00 μB/atom, total DFT energy (no corrections) -27.7 eV per cell. Number 8: M_tot 1.84 μB/atom, total DFT energy (no corrections) -23.0 eV per cell. Number 9: M_tot 0.00 μB/atom, total DFT energy (no corrections) -66.0 eV per cell. Number 10: M_tot 0.33 μB/atom, total DFT energy (no corrections) -16.6 eV per cell. Number 11: M_tot 0.00 μB/atom, total DFT energy (no corrections) -31.3 eV per cell. Number 12: M_tot 0.00 μB/atom, total DFT energy (no corrections) -37.1 eV per cell.